Record 1
Computed, not measured: a relaxed K2SnP2O6 crystal at the GGA-PBE level of DFT.

Summary:
DOS(E_F): 0.000 states/eV/atom
Space group: C2/m, No. 12
Calculated volume: 180 Å³/cell
Size of the total moment: 0.00 μB per formula unit
ΔE_f (raw): -1.99 eV per atom
Calculated density: 3.3 g/cm3
VASP energy: -68.6 eV/f.u.

Unit cell a=5.956 b=5.956 c=7.000 alpha=118.07 beta=118.07 gamma=59.41
Atoms (fractional coordinates):
1 K 0.212 0.212 0.195
2 K 0.788 0.788 0.805
3 Sn 0.000 0.000 0.500
4 P 0.464 0.464 0.820
5 P 0.536 0.536 0.180
6 O 0.246 0.683 0.210
7 O 0.287 0.287 0.670
8 O 0.317 0.754 0.790
9 O 0.683 0.246 0.210
10 O 0.713 0.713 0.330
11 O 0.754 0.317 0.790

Record 2
Computed, not measured: a relaxed KSnP2O8 crystal at the GGA-PBE level of DFT.

Summary:
DOS(E_F): 0.631 states/eV/atom
Space group: P-3, No. 147
Calculated volume: 181 Å³/cell
Size of the total moment: 1.05 μB per formula unit
ΔE_f (raw): -1.94 eV per atom
Calculated density: 3.2 g/cm3
VASP energy: -78.9 eV/f.u.

Unit cell a=5.054 b=5.054 c=8.203 alpha=90.00 beta=90.00 gamma=120.00
Atoms (fractional coordinates):
1 K 0.000 0.000 0.000
2 Sn 0.000 0.000 0.500
3 P 0.333 0.667 0.713
4 P 0.667 0.333 0.287
5 O 0.071 0.353 0.652
6 O 0.282 0.929 0.652
7 O 0.333 0.667 0.900
8 O 0.353 0.282 0.348
9 O 0.647 0.718 0.652
10 O 0.667 0.333 0.100
11 O 0.718 0.071 0.348
12 O 0.929 0.647 0.348

Record 3
Computed, not measured: a relaxed KSnP2O crystal at the GGA-PBE level of DFT.

Summary:
Offset from the most stable computed form: 1.160 eV/atom
DOS(E_F): 0.950 states/eV/atom
Space group: P4/mmm, No. 123
Calculated volume: 130 Å³/cell
Size of the total moment: 2.55 μB per formula unit
ΔE_f (raw): 1.29 eV per atom
Calculated density: 3.0 g/cm3
VASP energy: -14.4 eV/f.u.

Unit cell a=5.388 b=5.388 c=4.465 alpha=90.00 beta=90.00 gamma=90.00
Atoms (fractional coordinates):
1 K 0.000 0.000 0.000
2 Sn 0.500 0.500 0.500
3 P 0.000 0.500 0.000
4 P 0.500 0.000 0.000
5 O 0.000 0.000 0.500

Record 4
Computed, not measured: a relaxed KSnPO4 crystal at the GGA-PBE level of DFT.

Summary:
DOS(E_F): 0.000 states/eV/atom
Space group: F-43m, No. 216
Calculated volume: 172 Å³/cell
Size of the total moment: 0.00 μB per formula unit
ΔE_f (raw): -1.78 eV per atom
Calculated density: 2.4 g/cm3
VASP energy: -42.8 eV/f.u.

Unit cell a=6.239 b=6.239 c=6.239 alpha=60.00 beta=60.00 gamma=60.00
Atoms (fractional coordinates):
1 K 0.000 0.000 0.000
2 Sn 0.750 0.750 0.750
3 P 0.500 0.500 0.500
4 O 0.194 0.602 0.602
5 O 0.602 0.194 0.602
6 O 0.602 0.602 0.194
7 O 0.602 0.602 0.602

Record 5
Computed, not measured: a relaxed KSnP2O crystal at the GGA-PBE level of DFT.

Summary:
Offset from the most stable computed form: 0.000 eV/atom
DOS(E_F): 0.550 states/eV/atom
Space group: P4/mmm, No. 123
Calculated volume: 119 Å³/cell
Size of the total moment: 2.63 μB per formula unit
ΔE_f (raw): 0.13 eV per atom
Calculated density: 3.3 g/cm3
VASP energy: -20.2 eV/f.u.

Unit cell a=5.328 b=5.328 c=4.187 alpha=90.00 beta=90.00 gamma=90.00
Atoms (fractional coordinates):
1 K 0.000 0.000 0.000
2 Sn 0.500 0.500 0.500
3 P 0.000 0.500 0.500
4 P 0.500 0.000 0.500
5 O 0.500 0.500 0.000

Record 6
Computed, not measured: a relaxed KSrPO4 crystal at the GGA-PBE level of DFT.

Summary:
Offset from the most stable computed form: 0.085 eV/atom
DOS(E_F): 0.000 states/eV/atom
Space group: Cmcm, No. 63
Calculated volume: 225 Å³/cell
Size of the total moment: 0.00 μB per formula unit
ΔE_f (raw): -2.58 eV per atom
Calculated density: 3.3 g/cm3
VASP energy: -46.1 eV/f.u.

Unit cell a=5.795 b=5.795 c=7.457 alpha=90.00 beta=90.00 gamma=115.88
Atoms (fractional coordinates):
1 K 0.000 0.000 0.000
2 K 0.000 0.000 0.500
3 Sr 0.320 0.680 0.750
4 Sr 0.680 0.320 0.250
5 P 0.358 0.642 0.250
6 P 0.642 0.358 0.750
7 O 0.249 0.343 0.250
8 O 0.267 0.733 0.080
9 O 0.267 0.733 0.420
10 O 0.343 0.249 0.750
11 O 0.657 0.751 0.250
12 O 0.733 0.267 0.580
13 O 0.733 0.267 0.920
14 O 0.751 0.657 0.750

Record 7
Computed, not measured: a relaxed KSrPO2 crystal at the GGA-PBE level of DFT.

Summary:
Offset from the most stable computed form: 0.000 eV/atom
DOS(E_F): 0.791 states/eV/atom
Space group: P4/mmm, No. 123
Calculated volume: 142 Å³/cell
Size of the total moment: 4.00 μB per formula unit
ΔE_f (raw): -0.37 eV per atom
Calculated density: 2.2 g/cm3
VASP energy: -19.9 eV/f.u.

Unit cell a=4.863 b=4.863 c=6.020 alpha=90.00 beta=90.00 gamma=90.00
Atoms (fractional coordinates):
1 K 0.000 0.000 0.000
2 Sr 0.500 0.500 0.500
3 P 0.500 0.500 0.000
4 O 0.000 0.500 0.500
5 O 0.500 0.000 0.500

Record 8
Computed, not measured: a relaxed KSrP2O6 crystal at the GGA-PBE level of DFT.

Summary:
DOS(E_F): 0.145 states/eV/atom
Space group: C2/c, No. 15
Calculated volume: 318 Å³/cell
Size of the total moment: 0.41 μB per formula unit
ΔE_f (raw): -2.23 eV per atom
Calculated density: 3.0 g/cm3
VASP energy: -65.7 eV/f.u.

Unit cell a=7.337 b=7.337 c=6.163 alpha=101.67 beta=101.67 gamma=89.03
Atoms (fractional coordinates):
1 K 0.172 0.828 0.750
2 K 0.828 0.172 0.250
3 Sr 0.379 0.621 0.250
4 Sr 0.621 0.379 0.750
5 P 0.146 0.296 0.753
6 P 0.296 0.146 0.253
7 P 0.704 0.854 0.747
8 P 0.854 0.704 0.247
9 O 0.054 0.641 0.303
10 O 0.148 0.200 0.052
11 O 0.200 0.148 0.552
12 O 0.293 0.456 0.841
13 O 0.359 0.946 0.197
14 O 0.456 0.293 0.341
15 O 0.544 0.707 0.659
16 O 0.641 0.054 0.803
17 O 0.707 0.544 0.159
18 O 0.800 0.852 0.448
19 O 0.852 0.800 0.948
20 O 0.946 0.359 0.697

Record 9
Computed, not measured: a relaxed K3SrP2O8 crystal at the GGA-PBE level of DFT.

Summary:
DOS(E_F): 0.765 states/eV/atom
Space group: P-3m1, No. 164
Calculated volume: 237 Å³/cell
Size of the total moment: 1.09 μB per formula unit
ΔE_f (raw): -2.33 eV per atom
Calculated density: 2.8 g/cm3
VASP energy: -88.1 eV/f.u.

Unit cell a=5.923 b=5.923 c=7.793 alpha=90.00 beta=90.00 gamma=120.00
Atoms (fractional coordinates):
1 K 0.000 0.000 0.000
2 K 0.333 0.667 0.709
3 K 0.667 0.333 0.291
4 Sr 0.000 0.000 0.500
5 P 0.333 0.667 0.240
6 P 0.667 0.333 0.760
7 O 0.190 0.381 0.306
8 O 0.190 0.810 0.306
9 O 0.333 0.667 0.041
10 O 0.381 0.190 0.694
11 O 0.619 0.810 0.306
12 O 0.667 0.333 0.959
13 O 0.810 0.190 0.694
14 O 0.810 0.619 0.694